Record 1
Compound: Th3BiIr
Source: the Alexandria database
Functional: PBE-GGA
Structure: relaxed

Summary:
Symmetry ... Pmma, No. 51
Energy above the lowest structure with this stoichiometry ... 68 meV/atom
Formation energy from the elements ... -2.919 eV per formula unit
DOS at the Fermi energy ... 8.7 states/eV/cell

Cell: 6.5166 5.4979 8.5914 Å, 90.00 90.00 90.00°
Last column: nearest neighbours and their distance in Å.
Fractional coordinates of all 10 atoms:
Th 0.0000 0.0000 0.0000  2 Ir 3.04, 2 Th 3.26
Th 0.2500 0.0000 0.3784  1 Ir 2.78
Th 0.2500 0.5000 0.7152  2 Ir 2.75
Th 0.5000 0.0000 0.0000  2 Ir 3.04, 2 Th 3.26
Th 0.7500 0.0000 0.6216  1 Ir 2.78
Th 0.7500 0.5000 0.2848  2 Ir 2.75
Bi 0.2500 0.5000 0.1463  9 Th 3.40-3.70
Bi 0.7500 0.5000 0.8537  9 Th 3.40-3.70
Ir 0.2500 0.0000 0.7017  5 Th 2.75-3.04
Ir 0.7500 0.0000 0.2983  5 Th 2.75-3.04

***

Record 2
Compound: HgPd2Au
Source: the Alexandria database
Functional: PBE-GGA
Structure: relaxed

Summary:
Symmetry ... P4/mmm, No. 123
Formation energy from the elements ... -0.533 eV per formula unit
DOS at the Fermi energy ... 2.5 states/eV/cell

Cell: 3.3400 3.3400 6.2395 Å, 90.00 90.00 90.00°
Last column: nearest neighbours and their distance in Å.
Fractional coordinates of all 4 atoms:
Hg 0.0000 0.0000 0.0000  8 Pd 2.84, 2 Au 3.12
Pd 0.5000 0.5000 0.2541  4 Au 2.82, 4 Hg 2.84, 1 Pd 3.07
Pd 0.5000 0.5000 0.7459  4 Au 2.82, 4 Hg 2.84, 1 Pd 3.07
Au 0.0000 0.0000 0.5000  8 Pd 2.82, 2 Hg 3.12

***

Record 3
Compound: CdTeOs
Source: the Alexandria database
Functional: PBE-GGA
Structure: relaxed

Summary:
Symmetry ... F-43m, No. 216
E_form (uncorrected) ... 579 meV/atom
Energy above the lowest structure with this stoichiometry ... 159 meV/atom
DOS at the Fermi energy ... 15.2 states/eV/cell

Cell: 6.4193 6.4193 6.4193 Å, 90.00 90.00 90.00°
Last column: nearest neighbours and their distance in Å.
Fractional coordinates of all 12 atoms:
Cd 0.0000 0.0000 0.0000  4 Os 2.78
Cd 0.0000 0.5000 0.5000  4 Os 2.78
Cd 0.5000 0.0000 0.5000  4 Os 2.78
Cd 0.5000 0.5000 0.0000  4 Os 2.78
Te 0.0000 0.0000 0.5000  4 Os 2.78
Te 0.0000 0.5000 0.0000  4 Os 2.78
Te 0.5000 0.0000 0.0000  4 Os 2.78
Te 0.5000 0.5000 0.5000  4 Os 2.78
Os 0.2500 0.2500 0.7500  4 Cd 2.78, 4 Te 2.78
Os 0.2500 0.7500 0.2500  4 Cd 2.78, 4 Te 2.78
Os 0.7500 0.2500 0.2500  4 Cd 2.78, 4 Te 2.78
Os 0.7500 0.7500 0.7500  4 Cd 2.78, 4 Te 2.78

***

Record 4
Compound: CdSnPd2
Source: the Alexandria database
Functional: PBE-GGA
Structure: relaxed

Summary:
Symmetry ... I-42d, No. 122
Formation energy from the elements ... -0.716 eV per formula unit
DOS at the Fermi energy ... 5.8 states/eV/cell

Cell: 7.3650 7.3650 5.8565 Å, 90.00 90.00 90.00°
Last column: nearest neighbours and their distance in Å.
Fractional coordinates of all 16 atoms:
Cd 0.0000 0.0000 0.0000  4 Pd 2.76, 2 Sn 2.93
Cd 0.0000 0.5000 0.2500  4 Pd 2.76, 2 Sn 2.93
Cd 0.5000 0.0000 0.7500  4 Pd 2.76, 2 Sn 2.93
Cd 0.5000 0.5000 0.5000  4 Pd 2.76, 2 Sn 2.93
Sn 0.0000 0.0000 0.5000  4 Pd 2.65, 2 Cd 2.93
Sn 0.0000 0.5000 0.7500  4 Pd 2.65, 2 Cd 2.93
Sn 0.5000 0.0000 0.2500  4 Pd 2.65, 2 Cd 2.93
Sn 0.5000 0.5000 0.0000  4 Pd 2.65, 2 Cd 2.93
Pd 0.2392 0.2500 0.6250  2 Sn 2.65, 2 Cd 2.76, 2 Pd 2.93
Pd 0.2500 0.7392 0.8750  2 Sn 2.65, 2 Cd 2.76, 2 Pd 2.93
Pd 0.2500 0.7608 0.3750  2 Sn 2.65, 2 Cd 2.76, 2 Pd 2.93
Pd 0.2608 0.2500 0.1250  2 Sn 2.65, 2 Cd 2.76, 2 Pd 2.93
Pd 0.7392 0.7500 0.1250  2 Sn 2.65, 2 Cd 2.76, 2 Pd 2.93
Pd 0.7500 0.2392 0.3750  2 Sn 2.65, 2 Cd 2.76, 2 Pd 2.93
Pd 0.7500 0.2608 0.8750  2 Sn 2.65, 2 Cd 2.76, 2 Pd 2.93
Pd 0.7608 0.7500 0.6250  2 Sn 2.65, 2 Cd 2.76, 2 Pd 2.93